Entry 1:
# Na3In3Ga2

Crystalline Na3In3Ga2 at its relaxed geometry (PBE, the Alexandria database).

a b c (Å): 4.9221 5.8936 15.6022
angles (deg): 90.00 90.00 114.68
Closest atoms and distances in Å follow each position.
Sites, in units of the cell vectors:
Na: 0.6563 0.3125 0.0339  3 Ga 3.22-3.25, 5 In 3.32-3.50, 3 Na 3.35-3.51
Na: 0.3437 0.6875 0.5339  3 Ga 3.22-3.25, 5 In 3.32-3.50, 3 Na 3.35-3.51
Na: 0.6563 0.3125 0.4661  3 Ga 3.22-3.25, 5 In 3.32-3.50, 3 Na 3.35-3.51
Na: 0.3437 0.6875 0.9661  3 Ga 3.22-3.25, 5 In 3.32-3.50, 3 Na 3.35-3.51
Na: 0.5040 0.0079 0.2500  7 In 3.13-3.45, 2 Ga 3.30
Na: 0.4960 0.9921 0.7500  7 In 3.13-3.45, 2 Ga 3.30
In: 0.9695 0.9390 0.0967  1 Ga 2.91, 2 In 3.03-3.09
In: 0.0305 0.0610 0.5967  1 Ga 2.91, 2 In 3.03-3.09
In: 0.9695 0.9390 0.4033  1 Ga 2.91, 2 In 3.03-3.09
In: 0.0305 0.0610 0.9033  1 Ga 2.91, 2 In 3.03-3.09
In: 0.7959 0.5918 0.2500  4 Ga 2.94, 2 In 3.03, 1 Na 3.13
In: 0.2041 0.4082 0.7500  4 Ga 2.94, 2 In 3.03, 1 Na 3.13
Ga: 0.7735 0.5470 0.6579  1 Ga 2.87, 3 In 2.91-2.94
Ga: 0.2265 0.4530 0.1579  1 Ga 2.87, 3 In 2.91-2.94
Ga: 0.7735 0.5470 0.8421  1 Ga 2.87, 3 In 2.91-2.94
Ga: 0.2265 0.4530 0.3421  1 Ga 2.87, 3 In 2.91-2.94

**ΔE to the lowest computed polymorph**: 26.1 meV per atom
**VASP energy**: -2.347 eV per atom
**Symmetry**: Cmcm
**Crystal system**: orthorhombic
**ΔE_f**: -0.55 eV per formula unit

***

Entry 2:
# Na6In2Ga

Crystalline Na6In2Ga at its relaxed geometry (PBE, the Alexandria database).

a b c (Å): 4.2948 8.8555 8.8555
angles (deg): 124.53 82.69 82.69
Closest atoms and distances in Å follow each position.
Sites, in units of the cell vectors:
Na: 0.7960 0.4841 0.1461  4 Na 3.11-3.47, 2 In 3.24-3.46
Na: 0.2040 0.5159 0.8539  4 Na 3.11-3.47, 2 In 3.24-3.46
Na: 0.6843 0.6817 0.6817  2 In 3.25, 2 Ga 3.27-3.36, 5 Na 3.35-3.47
Na: 0.7960 0.1461 0.4841  4 Na 3.11-3.47, 2 In 3.24-3.46
Na: 0.2040 0.8539 0.5159  4 Na 3.11-3.47, 2 In 3.24-3.46
Na: 0.3157 0.3183 0.3183  2 In 3.25, 2 Ga 3.27-3.36, 5 Na 3.35-3.47
In: 0.5000 0.8693 0.1307  2 Ga 2.97, 4 Na 3.24-3.25
In: 0.5000 0.1307 0.8693  2 Ga 2.97, 4 Na 3.24-3.25
Ga: 0.0000 0.0000 0.0000  4 In 2.97, 2 Na 3.27

**ΔE to the lowest computed polymorph**: 43.0 meV per atom
**VASP energy**: -1.848 eV per atom
**Symmetry**: C2/m
**Crystal system**: monoclinic
**ΔE_f**: -0.22 eV per formula unit

***

Among the records above, which one has the highest VASP energy? Na6In2Ga

***

Which value of VASP energy does entry 2 give? -1.848 eV per atom